[1]
A plane-wave DFT calculation with GGA-PBE was carried out for an optimized crystal structure of ZnSiHgPd2.

The structure in POSCAR format:
```
ZnSiHgPd2
1.0
4.751 0.000 0.000
0.000 4.751 0.000
0.000 0.000 4.387
Zn Si Hg Pd
1 1 1 2
direct
0.000 0.000 0.000
0.000 0.000 0.500
0.500 0.500 0.500
0.000 0.500 0.000
0.500 0.000 0.000
```

E_form (uncorrected)   0.4591 eV per atom
Space group   No. 123
Raw total energy   -3.018 eV/atom
Calculated density   8.50 Mg/m³
Total magnetization   0.0000 μB per atom
Density of states at the Fermi level   2.3 states/eV per cell

=====

[2]
A plane-wave DFT calculation with GGA-PBE was carried out for an optimized crystal structure of Sm5Hg2Pd2.

The structure in POSCAR format:
```
Sm5Hg2Pd2
1.0
7.856 -3.676 0.000
7.856 3.676 0.000
0.000 0.000 8.513
Sm Hg Pd
10 4 4
direct
0.000 0.000 0.000
0.037 0.708 0.678
0.208 0.537 0.178
0.292 0.963 0.678
0.463 0.792 0.178
0.500 0.500 0.500
0.537 0.208 0.822
0.708 0.037 0.322
0.792 0.463 0.822
0.963 0.292 0.322
0.211 0.211 0.000
0.289 0.289 0.500
0.711 0.711 0.500
0.789 0.789 0.000
0.128 0.872 0.376
0.372 0.628 0.876
0.628 0.372 0.124
0.872 0.128 0.624
```

Space group   No. 64
Formation enthalpy at 0 K   -0.552 eV per atom
Raw total energy   -4.394 eV/atom
Calculated density   9.22 Mg/m³
Total magnetization   0.0000 μB per atom
Density of states at the Fermi level   16.2 states/eV per cell

=====

[3]
A plane-wave DFT calculation with GGA-PBE was carried out for an optimized crystal structure of Sm8Hg2Pd.

The structure in POSCAR format:
```
Sm8Hg2Pd
1.0
9.140 -2.615 0.000
9.140 2.615 0.000
-1.320 0.000 6.841
Sm Hg Pd
8 2 1
direct
0.022 0.022 0.270
0.202 0.202 0.818
0.346 0.346 0.530
0.410 0.410 0.049
0.590 0.590 0.951
0.654 0.654 0.470
0.798 0.798 0.182
0.978 0.978 0.730
0.191 0.191 0.246
0.809 0.809 0.754
0.500 0.500 0.500
```

Space group   No. 12
Formation enthalpy at 0 K   -0.286 eV per atom
Raw total energy   -4.245 eV/atom
Calculated density   8.68 Mg/m³
Total magnetization   0.0000 μB per atom
Density of states at the Fermi level   10.1 states/eV per cell
E above lowest polymorph   0.0000 eV per atom

=====

[4]
A plane-wave DFT calculation with GGA-PBE was carried out for an optimized crystal structure of SmHg6Pd12.

The structure in POSCAR format:
```
SmHg6Pd12
1.0
6.065 3.502 2.931
-6.065 3.502 2.931
0.000 -7.004 2.931
Sm Hg Pd
1 6 12
direct
0.000 0.000 0.000
0.298 0.298 0.700
0.298 0.700 0.298
0.300 0.702 0.702
0.700 0.298 0.298
0.702 0.300 0.702
0.702 0.702 0.300
0.109 0.346 0.346
0.112 0.500 0.888
0.112 0.888 0.500
0.346 0.109 0.346
0.346 0.346 0.109
0.500 0.112 0.888
0.500 0.888 0.112
0.654 0.654 0.891
0.654 0.891 0.654
0.888 0.112 0.500
0.888 0.500 0.112
0.891 0.654 0.654
```

Space group   No. 166
Formation enthalpy at 0 K   -0.089 eV per atom
Raw total energy   -3.712 eV/atom
Calculated density   11.70 Mg/m³
Total magnetization   0.0000 μB per atom
Density of states at the Fermi level   7.6 states/eV per cell

=====

[5]
A plane-wave DFT calculation with GGA-PBE was carried out for an optimized crystal structure of Sm3Hg4Pd2.

The structure in POSCAR format:
```
Sm3Hg4Pd2
1.0
7.249 -5.662 0.000
7.249 5.662 0.000
-0.966 0.000 5.256
Sm Hg Pd
6 8 4
direct
0.109 0.891 0.750
0.197 0.468 0.913
0.468 0.197 0.413
0.532 0.803 0.587
0.803 0.532 0.087
0.891 0.109 0.250
0.106 0.323 0.357
0.307 0.578 0.468
0.323 0.106 0.857
0.422 0.693 0.032
0.578 0.307 0.968
0.677 0.894 0.143
0.693 0.422 0.532
0.894 0.677 0.643
0.020 0.759 0.190
0.241 0.980 0.310
0.759 0.020 0.690
0.980 0.241 0.810
```

Space group   No. 15
Formation enthalpy at 0 K   -0.495 eV per atom
Raw total energy   -3.356 eV/atom
Calculated density   11.29 Mg/m³
Total magnetization   0.0000 μB per atom
Density of states at the Fermi level   10.8 states/eV per cell

=====

[6]
A plane-wave DFT calculation with GGA-PBE was carried out for an optimized crystal structure of SmHgPd6.

The structure in POSCAR format:
```
SmHgPd6
1.0
5.777 0.000 0.000
0.000 5.777 0.000
0.000 0.000 4.176
Sm Hg Pd
1 1 6
direct
0.000 0.000 0.000
0.500 0.500 0.000
0.000 0.500 0.000
0.255 0.255 0.500
0.255 0.745 0.500
0.500 0.000 0.000
0.745 0.255 0.500
0.745 0.745 0.500
```

Space group   No. 123
Formation enthalpy at 0 K   -0.465 eV per atom
Raw total energy   -4.987 eV/atom
Calculated density   11.79 Mg/m³
Total magnetization   0.0000 μB per atom
Density of states at the Fermi level   7.6 states/eV per cell
E above lowest polymorph   0.0000 eV per atom

=====

[7]
A plane-wave DFT calculation with GGA-PBE was carried out for an optimized crystal structure of Sm11Hg9Pd4.

The structure in POSCAR format:
```
Sm11Hg9Pd4
1.0
7.364 -11.085 0.000
7.364 11.085 0.000
0.000 0.000 3.742
Sm Hg Pd
11 9 4
direct
0.000 0.000 0.000
0.072 0.413 0.000
0.168 0.832 0.000
0.300 0.300 0.000
0.371 0.629 0.000
0.413 0.072 0.000
0.587 0.928 0.000
0.629 0.371 0.000
0.700 0.700 0.000
0.832 0.168 0.000
0.928 0.587 0.000
0.067 0.214 0.500
0.156 0.630 0.500
0.214 0.067 0.500
0.370 0.844 0.500
0.500 0.500 0.500
0.630 0.156 0.500
0.786 0.933 0.500
0.844 0.370 0.500
0.933 0.786 0.500
0.250 0.449 0.500
0.449 0.250 0.500
0.551 0.750 0.500
0.750 0.551 0.500
```

Space group   No. 65
Formation enthalpy at 0 K   -0.614 eV per atom
Raw total energy   -3.755 eV/atom
Calculated density   10.56 Mg/m³
Total magnetization   0.0001 μB per atom
Density of states at the Fermi level   18.0 states/eV per cell

=====

[8]
A plane-wave DFT calculation with GGA-PBE was carried out for an optimized crystal structure of Sm12Hg6Pd.

The structure in POSCAR format:
```
Sm12Hg6Pd
1.0
5.759 3.325 4.709
-5.759 3.325 4.709
0.000 -6.650 4.709
Sm Hg Pd
12 6 1
direct
0.035 0.947 0.305
0.053 0.695 0.965
0.148 0.486 0.370
0.305 0.035 0.947
0.370 0.148 0.486
0.486 0.370 0.148
0.514 0.630 0.852
0.630 0.852 0.514
0.695 0.965 0.053
0.852 0.514 0.630
0.947 0.305 0.035
0.965 0.053 0.695
0.221 0.383 0.767
0.233 0.779 0.617
0.383 0.767 0.221
0.617 0.233 0.779
0.767 0.221 0.383
0.779 0.617 0.233
0.500 0.500 0.500
```

Space group   No. 148
Formation enthalpy at 0 K   -0.241 eV per atom
Raw total energy   -3.590 eV/atom
Calculated density   9.56 Mg/m³
Total magnetization   0.0000 μB per atom
Density of states at the Fermi level   23.1 states/eV per cell

=====

[9]
A plane-wave DFT calculation with GGA-PBE was carried out for an optimized crystal structure of Sm8Hg2Pd.

The structure in POSCAR format:
```
Sm8Hg2Pd
1.0
-2.544 4.373 7.236
2.544 -4.373 7.236
2.544 4.373 -7.236
Sm Hg Pd
8 2 1
direct
0.122 0.342 0.780
0.123 0.123 0.000
0.329 0.000 0.329
0.438 0.658 0.780
0.562 0.342 0.220
0.671 0.000 0.671
0.877 0.877 0.000
0.878 0.658 0.220
0.297 0.797 0.500
0.703 0.203 0.500
0.000 0.500 0.500
```

Space group   No. 71
Formation enthalpy at 0 K   -0.192 eV per atom
Raw total energy   -4.151 eV/atom
Calculated density   8.82 Mg/m³
Total magnetization   0.0002 μB per atom
Density of states at the Fermi level   13.5 states/eV per cell
E above lowest polymorph   0.0946 eV per atom

=====

[10]
A plane-wave DFT calculation with GGA-PBE was carried out for an optimized crystal structure of Sm2Hg2Pd3.

The structure in POSCAR format:
```
Sm2Hg2Pd3
1.0
5.038 -2.141 0.000
5.038 2.141 0.000
-2.082 0.000 7.059
Sm Hg Pd
2 2 3
direct
0.126 0.126 0.294
0.874 0.874 0.706
0.376 0.376 0.071
0.624 0.624 0.929
0.168 0.168 0.700
0.500 0.500 0.500
0.832 0.832 0.300
```

Space group   No. 12
Formation enthalpy at 0 K   -0.658 eV per atom
Raw total energy   -4.318 eV/atom
Calculated density   11.13 Mg/m³
Total magnetization   0.0000 μB per atom
Density of states at the Fermi level   3.1 states/eV per cell
E above lowest polymorph   0.0000 eV per atom

=====

[11]
A plane-wave DFT calculation with GGA-PBE was carried out for an optimized crystal structure of Sm5Hg2Pd.

The structure in POSCAR format:
```
Sm5Hg2Pd
1.0
7.018 0.000 0.000
0.000 12.533 0.000
0.000 0.000 5.115
Sm Hg Pd
10 4 2
direct
0.000 0.000 0.000
0.138 0.287 0.000
0.171 0.594 0.500
0.329 0.094 0.500
0.362 0.787 0.000
0.500 0.500 0.000
0.638 0.213 0.000
0.671 0.906 0.500
0.829 0.406 0.500
0.862 0.713 0.000
0.102 0.846 0.500
0.398 0.346 0.500
0.602 0.654 0.500
0.898 0.154 0.500
0.000 0.500 0.000
0.500 0.000 0.000
```

Space group   No. 55
Formation enthalpy at 0 K   -0.428 eV per atom
Raw total energy   -4.102 eV/atom
Calculated density   9.30 Mg/m³
Total magnetization   0.0000 μB per atom
Density of states at the Fermi level   14.9 states/eV per cell

=====

[12]
A plane-wave DFT calculation with GGA-PBE was carried out for an optimized crystal structure of Sm12HgPd6.

The structure in POSCAR format:
```
Sm12HgPd6
1.0
6.797 3.925 3.642
-6.797 3.925 3.642
0.000 -7.849 3.642
Sm Hg Pd
12 1 6
direct
0.072 0.670 0.927
0.073 0.928 0.330
0.168 0.410 0.557
0.330 0.073 0.928
0.410 0.557 0.168
0.443 0.832 0.590
0.557 0.168 0.410
0.590 0.443 0.832
0.670 0.927 0.072
0.832 0.590 0.443
0.927 0.072 0.670
0.928 0.330 0.073
0.000 0.000 0.000
0.145 0.619 0.319
0.319 0.145 0.619
0.381 0.681 0.855
0.619 0.319 0.145
0.681 0.855 0.381
0.855 0.381 0.681
```

Space group   No. 148
Formation enthalpy at 0 K   -0.399 eV per atom
Raw total energy   -5.036 eV/atom
Calculated density   7.53 Mg/m³
Total magnetization   0.0000 μB per atom
Density of states at the Fermi level   21.2 states/eV per cell
E above lowest polymorph   0.1526 eV per atom